# 1
VASP calculation (PBE) on crystalline Ba2TcNiSe6 at its relaxed geometry.

Its uncorrected energy is -4.812 eV per atom.

Cell lengths 9.995, 9.995, 9.995 Å; angles 90.00, 90.00, 90.00 degrees
Space group Fm-3m (No. 225)
Inequivalent atoms, fractional coordinates:
Ba 0.250 0.250 0.250 [8 per cell]
Tc 0.000 0.000 0.000 [4 per cell]
Ni 0.000 0.000 0.500 [4 per cell]
Se 0.000 0.000 0.255 [24 per cell]


# 2
VASP calculation (PBE) on crystalline BaZnNiSe3 at its relaxed geometry.

The value obtained for the energy above the most stable polymorph in this dataset is 0 meV/atom.

Cell lengths 4.078, 14.031, 10.000 Å; angles 90.00, 90.00, 90.00 degrees
Space group Cmcm (No. 63)
Inequivalent atoms, fractional coordinates:
Ba 0.000 0.243 0.250 [4 per cell]
Zn 0.000 0.469 0.750 [4 per cell]
Ni 0.000 0.000 0.000 [4 per cell]
Se 0.000 0.068 0.750 [4 per cell]
Se 0.000 0.378 0.542 [8 per cell]


# 3
VASP calculation (PBE) on crystalline BaZnNiSe3 at its relaxed geometry.

The value obtained for the energy above the most stable polymorph in this dataset is 18 meV/atom.

Cell lengths 4.110, 13.457, 10.403 Å; angles 90.00, 90.00, 90.00 degrees
Space group Cmcm (No. 63)
Inequivalent atoms, fractional coordinates:
Ba 0.000 0.248 0.250 [4 per cell]
Zn 0.000 0.000 0.000 [4 per cell]
Ni 0.000 0.467 0.750 [4 per cell]
Se 0.000 0.055 0.750 [4 per cell]
Se 0.000 0.373 0.554 [8 per cell]


# 4
VASP calculation (PBE) on crystalline BaTbSi4Ni2 at its relaxed geometry.

Its uncorrected energy is -5.498 eV per atom.

Cell lengths 4.052, 4.185, 17.335 Å; angles 90.00, 90.00, 90.00 degrees
Space group Amm2 (No. 38)
Inequivalent atoms, fractional coordinates:
Ba 0.000 0.000 0.000 [2 per cell]
Tb 0.500 0.000 0.217 [2 per cell]
Si 0.000 0.000 0.350 [2 per cell]
Si 0.000 0.000 0.654 [2 per cell]
Si 0.500 0.000 0.577 [2 per cell]
Si 0.500 0.000 0.850 [2 per cell]
Ni 0.000 0.000 0.784 [2 per cell]
Ni 0.500 0.000 0.417 [2 per cell]


# 5
VASP calculation (PBE) on crystalline BaSmNi at its relaxed geometry.

The value obtained for the energy above the most stable polymorph in this dataset is 0 meV/atom.

Cell lengths 7.070, 7.070, 7.070 Å; angles 90.00, 90.00, 90.00 degrees
Space group F-43m (No. 216)
Inequivalent atoms, fractional coordinates:
Ba 0.000 0.000 0.000 [4 per cell]
Sm 0.250 0.250 0.250 [4 per cell]
Ni 0.000 0.000 0.500 [4 per cell]


# 6
VASP calculation (PBE) on crystalline BaNi2Sn at its relaxed geometry.

Its uncorrected energy is -4.425 eV per atom.

Cell lengths 7.154, 12.607, 4.203 Å; angles 90.00, 90.00, 90.00 degrees
Space group Cmcm (No. 63)
Inequivalent atoms, fractional coordinates:
Ba 0.000 0.145 0.250 [4 per cell]
Ni 0.178 0.449 0.250 [8 per cell]
Sn 0.000 0.371 0.750 [4 per cell]


# 7
VASP calculation (PBE) on crystalline BaNiSn2 at its relaxed geometry.

Its uncorrected energy is -3.820 eV per atom.

Cell lengths 7.507, 7.507, 7.507 Å; angles 90.00, 90.00, 90.00 degrees
Space group F-43m (No. 216)
Inequivalent atoms, fractional coordinates:
Ba 0.000 0.000 0.000 [4 per cell]
Ni 0.250 0.250 0.750 [4 per cell]
Sn 0.000 0.000 0.500 [4 per cell]
Sn 0.250 0.250 0.250 [4 per cell]


# 8
VASP calculation (PBE) on crystalline Ba2NiSn at its relaxed geometry.

Its uncorrected energy is -3.372 eV per atom.

Cell lengths 7.771, 7.771, 7.771 Å; angles 90.00, 90.00, 90.00 degrees
Space group F-43m (No. 216)
Inequivalent atoms, fractional coordinates:
Ba 0.000 0.000 0.000 [4 per cell]
Ba 0.250 0.250 0.250 [4 per cell]
Ni 0.250 0.250 0.750 [4 per cell]
Sn 0.000 0.000 0.500 [4 per cell]


# 9
VASP calculation (PBE) on crystalline BaNiSn at its relaxed geometry.

Its uncorrected energy is -3.862 eV per atom.

Cell lengths 7.018, 7.018, 7.018 Å; angles 90.00, 90.00, 90.00 degrees
Space group F-43m (No. 216)
Inequivalent atoms, fractional coordinates:
Ba 0.000 0.000 0.000 [4 per cell]
Ni 0.250 0.250 0.250 [4 per cell]
Sn 0.000 0.000 0.500 [4 per cell]


# 10
VASP calculation (PBE) on crystalline BaNi5Sn2 at its relaxed geometry.

Its uncorrected energy is -4.598 eV per atom.

Cell lengths 4.117, 6.665, 10.260 Å; angles 90.00, 90.00, 90.00 degrees
Space group Amm2 (No. 38)
Inequivalent atoms, fractional coordinates:
Ba 0.000 0.000 0.000 [2 per cell]
Ni 0.000 0.222 0.281 [4 per cell]
Ni 0.500 0.000 0.760 [2 per cell]
Ni 0.500 0.181 0.481 [4 per cell]
Sn 0.000 0.000 0.601 [2 per cell]
Sn 0.500 0.000 0.264 [2 per cell]


# 11
VASP calculation (PBE) on crystalline BaSrNi at its relaxed geometry.

The value obtained for the energy above the most stable polymorph in this dataset is 655 meV/atom.

Cell lengths 7.414, 7.414, 7.414 Å; angles 90.00, 90.00, 90.00 degrees
Space group F-43m (No. 216)
Inequivalent atoms, fractional coordinates:
Ba 0.000 0.000 0.000 [4 per cell]
Sr 0.250 0.250 0.250 [4 per cell]
Ni 0.250 0.250 0.750 [4 per cell]


# 12
VASP calculation (PBE) on crystalline BaSr3Ni at its relaxed geometry.

Its uncorrected energy is -2.538 eV per atom.

Cell lengths 6.051, 6.051, 12.311 Å; angles 90.00, 90.00, 90.00 degrees
Space group I4mm (No. 107)
Inequivalent atoms, fractional coordinates:
Ba 0.000 0.000 0.000 [2 per cell]
Sr 0.000 0.000 0.483 [2 per cell]
Sr 0.000 0.500 0.241 [4 per cell]
Ni 0.000 0.000 0.244 [2 per cell]


# 13
VASP calculation (PBE) on crystalline BaSrNi at its relaxed geometry.

The value obtained for the energy above the most stable polymorph in this dataset is 0 meV/atom.

Cell lengths 7.581, 7.581, 7.581 Å; angles 90.00, 90.00, 90.00 degrees
Space group F-43m (No. 216)
Inequivalent atoms, fractional coordinates:
Ba 0.000 0.000 0.000 [4 per cell]
Sr 0.000 0.000 0.500 [4 per cell]
Ni 0.250 0.250 0.250 [4 per cell]


# 14
VASP calculation (PBE) on crystalline BaSrNi3 at its relaxed geometry.

Its uncorrected energy is -4.137 eV per atom.

Cell lengths 4.1295, 4.1295, 8.8728 Å; angles 90.00, 90.00, 120.00 degrees
Space group P3m1 (No. 156)
Inequivalent atoms, fractional coordinates:
Ba 0.0000 0.0000 0.0000 [1 per cell]
Sr 0.6667 0.3333 0.4441 [1 per cell]
Ni 0.0000 0.0000 0.6763 [1 per cell]
Ni 0.3333 0.6667 0.7138 [1 per cell]
Ni 0.6667 0.3333 0.7541 [1 per cell]


# 15
VASP calculation (PBE) on crystalline BaSrTl4Ni2 at its relaxed geometry.

Its uncorrected energy is -3.185 eV per atom.

Cell lengths 8.174, 4.431, 11.569 Å; angles 90.00, 90.00, 90.00 degrees
Space group Amm2 (No. 38)
Inequivalent atoms, fractional coordinates:
Ba 0.000 0.000 0.000 [2 per cell]
Sr 0.500 0.000 0.884 [2 per cell]
Tl 0.201 0.000 0.286 [4 per cell]
Tl 0.308 0.000 0.599 [4 per cell]
Ni 0.000 0.000 0.723 [2 per cell]
Ni 0.500 0.000 0.164 [2 per cell]


# 16
VASP calculation (PBE) on crystalline BaTbNi at its relaxed geometry.

Its uncorrected energy is -3.126 eV per atom.

Cell lengths 6.997, 6.997, 6.997 Å; angles 90.00, 90.00, 90.00 degrees
Space group F-43m (No. 216)
Inequivalent atoms, fractional coordinates:
Ba 0.000 0.000 0.000 [4 per cell]
Tb 0.250 0.250 0.250 [4 per cell]
Ni 0.250 0.250 0.750 [4 per cell]


# 17
VASP calculation (PBE) on crystalline BaTc2Ni at its relaxed geometry.

Its uncorrected energy is -6.000 eV per atom.

Cell lengths 6.618, 6.618, 6.618 Å; angles 90.00, 90.00, 90.00 degrees
Space group F-43m (No. 216)
Inequivalent atoms, fractional coordinates:
Ba 0.000 0.000 0.000 [4 per cell]
Tc 0.000 0.000 0.500 [4 per cell]
Tc 0.250 0.250 0.250 [4 per cell]
Ni 0.250 0.250 0.750 [4 per cell]


# 18
VASP calculation (PBE) on crystalline BaNi2Te3 at its relaxed geometry.

Its uncorrected energy is -4.258 eV per atom.

Cell lengths 4.033, 14.458, 10.563 Å; angles 90.00, 90.00, 90.00 degrees
Space group Cmcm (No. 63)
Inequivalent atoms, fractional coordinates:
Ba 0.000 0.241 0.250 [4 per cell]
Ni 0.000 0.000 0.000 [4 per cell]
Ni 0.000 0.452 0.750 [4 per cell]
Te 0.000 0.053 0.750 [4 per cell]
Te 0.000 0.380 0.532 [8 per cell]


# 19
VASP calculation (PBE) on crystalline BaNi3Te4 at its relaxed geometry.

Its uncorrected energy is -4.246 eV per atom.

Cell lengths 6.409, 3.968, 7.825 Å; angles 90.00, 92.06, 90.00 degrees
Space group P2/m (No. 10)
Inequivalent atoms, fractional coordinates:
Ba 0.000 0.000 0.000 [1 per cell]
Ni 0.000 0.500 0.500 [1 per cell]
Ni 0.500 0.000 0.000 [1 per cell]
Ni 0.500 0.500 0.500 [1 per cell]
Te 0.222 0.000 0.408 [2 per cell]
Te 0.382 0.500 0.813 [2 per cell]


# 20
VASP calculation (PBE) on crystalline Ba3NiTe4 at its relaxed geometry.

Its uncorrected energy is -4.002 eV per atom.

Cell lengths 8.071, 4.527, 8.336 Å; angles 90.00, 90.86, 90.00 degrees
Space group Pm (No. 6)
Inequivalent atoms, fractional coordinates:
Ba 0.000 0.000 0.000 [1 per cell]
Ba 0.000 0.500 0.500 [1 per cell]
Ba 0.500 0.000 0.000 [1 per cell]
Ni 0.499 0.500 0.499 [1 per cell]
Te 0.258 0.500 0.190 [1 per cell]
Te 0.313 0.000 0.622 [1 per cell]
Te 0.687 0.000 0.378 [1 per cell]
Te 0.742 0.500 0.811 [1 per cell]


no.,theoretical density (g cm⁻³)
1,6.02
2,5.78
3,5.75
4,5.94
5,6.51
6,6.54
7,6.81
8,6.40
9,6.05
10,7.88
11,4.62
12,3.38
13,4.32
14,5.08
15,9.19
16,6.88
17,8.98
18,6.88
19,6.88
20,5.35